# GGA-PBE PaCuO5, optimized geometry
# E_form (uncorrected): -37.5 kcal/mol of atoms
# Uncorrected energy: -7.108 eV per atom
# Crystal system: monoclinic
# Total magnetic moment: 0.0000 μB per atom
data_PaCuO5
_chemical_formula_sum 'Pa4 Cu4 O20'
_cell_length_a 8.603
_cell_length_b 6.318
_cell_length_c 7.474
_cell_angle_alpha 90.00
_cell_angle_beta 115.46
_cell_angle_gamma 90.00
_space_group_name_H-M_alt 'C 1 2/c 1'
_space_group_IT_number 15
loop_
_space_group_symop_operation_xyz
'x,y,z'
'-x,-y,-z'
'-x,y,-z+1/2'
'x,-y,z+1/2'
'x+1/2,y+1/2,z'
'-x+1/2,-y+1/2,-z'
'-x+1/2,y+1/2,-z+1/2'
'x+1/2,-y+1/2,z+1/2'
loop_
_atom_site_label
_atom_site_type_symbol
_atom_site_fract_x
_atom_site_fract_y
_atom_site_fract_z
Pa1 Pa 0.000 0.042 0.250
Cu1 Cu 0.000 0.500 0.000
O1 O 0.000 0.404 0.250
O2 O 0.010 0.205 0.967
O3 O 0.243 0.473 0.626